Entry 1:
VASP calculation (GGA-PBE) on a geometry-optimized CuTePbS3 structure.

Cell and atoms, written as POSCAR:
```
CuTePbS3
1.0
-1.474 3.698 1.544
-5.263 0.746 -6.811
-4.591 -4.254 5.807
Cu Te Pb S
2 2 2 6
Direct
0.250 0.083 0.571 Cu
0.750 0.917 0.429 Cu
0.250 0.641 0.190 Te
0.750 0.359 0.810 Te
0.250 0.158 0.189 Pb
0.750 0.842 0.811 Pb
0.750 0.944 0.158 S
0.250 0.056 0.842 S
0.250 0.798 0.477 S
0.750 0.202 0.523 S
0.750 0.488 0.197 S
0.250 0.512 0.803 S
```

For the density, the calculation gives 5.388 g cm⁻³. The energy relative to the elements, uncorrected is -0.114 eV per atom. Its symmetry is P2_1/m.



Entry 2:
VASP calculation (GGA-PBE) on a geometry-optimized Nd7SmAl4 structure.

Cell and atoms, written as POSCAR:
```
Nd7SmAl4
1.0
5.685 0.000 0.000
2.843 8.938 0.312
2.843 0.550 7.054
Nd Sm Al
7 1 4
Direct
0.794 0.879 0.533 Nd
0.206 0.121 0.467 Nd
0.066 0.613 0.256 Nd
0.934 0.387 0.744 Nd
0.296 0.646 0.762 Nd
0.500 0.000 0.000 Nd
0.704 0.354 0.238 Nd
0.000 0.000 0.000 Sm
0.552 0.240 0.656 Al
0.448 0.760 0.344 Al
0.675 0.669 0.981 Al
0.325 0.331 0.019 Al
```

For the density, the calculation gives 5.890 g cm⁻³. Its symmetry is C2/m. The calculation puts the formation energy at -0.067 eV per atom.



Entry 3:
VASP calculation (GGA-PBE) on a geometry-optimized CdP2O2 structure.

Cell and atoms, written as POSCAR:
```
CdP2O2
1.0
-0.953 -2.532 2.494
3.495 -0.198 1.134
-1.055 4.343 4.007
P O Cd
2 2 1
Direct
0.000 0.500 0.000 P
0.500 0.000 0.000 P
0.000 0.000 0.000 O
0.000 0.000 0.500 O
0.500 0.500 0.500 Cd
```

For the density, the calculation gives 4.216 g cm⁻³. The energy above the lowest structure with this stoichiometry comes out at 0.8628 eV/atom. The energy relative to the elements, uncorrected is 0.408 eV per atom. Its symmetry is P4/mmm.



Entry 4:
VASP calculation (GGA-PBE) on a geometry-optimized CuRh structure.

Cell and atoms, written as POSCAR:
```
CuRh
1.0
7.469 0.000 0.000
0.000 7.469 0.000
0.000 0.000 7.469
Cu Rh
8 8
Direct
0.197 0.197 0.197 Cu
0.197 0.803 0.803 Cu
0.803 0.197 0.803 Cu
0.803 0.803 0.197 Cu
0.697 0.697 0.697 Cu
0.697 0.303 0.303 Cu
0.303 0.697 0.303 Cu
0.303 0.303 0.697 Cu
0.376 0.376 0.376 Rh
0.376 0.624 0.624 Rh
0.624 0.376 0.624 Rh
0.624 0.624 0.376 Rh
0.876 0.876 0.876 Rh
0.876 0.124 0.124 Rh
0.124 0.876 0.124 Rh
0.124 0.124 0.876 Rh
```

For the density, the calculation gives 5.307 g cm⁻³. Its symmetry is I-43m. The calculation puts the formation energy at 1.292 eV per atom.



Entry 5:
VASP calculation (GGA-PBE) on a geometry-optimized Be2AlSeCl structure.

Cell and atoms, written as POSCAR:
```
Be2AlSeCl
1.0
-1.485 -4.486 -0.217
3.101 -0.870 -3.229
3.135 -1.199 3.334
Be Al Se Cl
2 1 1 1
Direct
0.000 0.000 0.500 Be
0.500 0.000 0.000 Be
0.000 0.000 0.000 Al
0.500 0.500 0.500 Se
0.000 0.500 0.000 Cl
```

For the density, the calculation gives 2.593 g cm⁻³. The energy above the lowest structure with this stoichiometry comes out at 0.0417 eV/atom. The energy relative to the elements, uncorrected is 0.793 eV per atom. Its symmetry is P4/mmm.



Entry 6:
VASP calculation (GGA-PBE) on a geometry-optimized LiZr3Ti structure.

Cell and atoms, written as POSCAR:
```
LiZr3Ti
1.0
5.023 0.000 0.000
0.000 5.023 0.000
0.000 0.000 5.023
Li Zr Ti
1 3 1
Direct
0.500 0.500 0.500 Li
0.000 0.500 0.000 Zr
0.000 0.000 0.500 Zr
0.500 0.000 0.000 Zr
0.000 0.000 0.000 Ti
```

For the density, the calculation gives 4.304 g cm⁻³. The energy above the lowest structure with this stoichiometry comes out at 0.0000 eV/atom. Its symmetry is Pm-3m. The calculation puts the formation energy at 0.813 eV per atom.



Entry 7:
VASP calculation (GGA-PBE) on a geometry-optimized ZnAgAs2 structure.

Cell and atoms, written as POSCAR:
```
ZnAgAs2
1.0
5.586 -0.119 -1.258
4.465 3.358 -1.258
-0.391 -0.126 4.498
Ag As Zn
1 2 1
Direct
0.750 0.750 0.750 Ag
0.001 0.001 0.063 As
0.499 0.499 0.437 As
0.250 0.250 0.250 Zn
```

For the density, the calculation gives 6.323 g cm⁻³. Its symmetry is C2/m. The calculation puts the formation energy at 0.109 eV per atom.



Entry 8:
VASP calculation (GGA-PBE) on a geometry-optimized PmHfGaO6 structure.

Cell and atoms, written as POSCAR:
```
PmHfGaO6
1.0
4.555 0.000 0.000
0.000 5.480 0.000
0.000 -2.740 4.746
Pm Hf Ga O
1 1 1 6
Direct
0.500 0.667 0.333 Pm
0.000 0.333 0.667 Hf
0.500 0.000 0.000 Ga
0.741 0.672 0.715 O
0.741 0.285 0.957 O
0.741 0.043 0.328 O
0.259 0.285 0.328 O
0.259 0.672 0.957 O
0.259 0.043 0.715 O
```

For the density, the calculation gives 6.858 g cm⁻³. The energy relative to the elements, uncorrected is -2.291 eV per atom. Its symmetry is P312.



Entry 9:
VASP calculation (GGA-PBE) on a geometry-optimized AcPd2Pb structure.

Cell and atoms, written as POSCAR:
```
AcPd2Pb
1.0
3.812 0.000 0.000
0.000 5.034 0.000
0.000 0.000 5.034
Pb Ac Pd
1 1 2
Direct
0.500 0.500 0.500 Pb
0.500 0.000 0.000 Ac
0.000 0.000 0.500 Pd
0.000 0.500 0.000 Pd
```

For the density, the calculation gives 11.122 g cm⁻³. Its symmetry is P4/mmm. The calculation puts the formation energy at -0.512 eV per atom.



Entry 10:
VASP calculation (GGA-PBE) on a geometry-optimized BaSc2Ta structure.

Cell and atoms, written as POSCAR:
```
BaSc2Ta
1.0
3.271 0.000 0.000
0.000 3.269 0.009
0.000 3.243 10.335
Ba Sc Ta
1 2 1
Direct
0.500 0.750 0.750 Ba
0.000 0.937 0.063 Sc
0.000 0.563 0.437 Sc
0.500 0.250 0.250 Ta
```

For the density, the calculation gives 6.140 g cm⁻³. The energy above the lowest structure with this stoichiometry comes out at 0.0000 eV/atom. Its symmetry is P4/mmm. The calculation puts the formation energy at 0.344 eV per atom.



Entry 11:
VASP calculation (GGA-PBE) on a geometry-optimized LiPmScAl structure.

Cell and atoms, written as POSCAR:
```
LiPmScAl
1.0
-0.202 -4.450 2.420
-0.974 -4.249 -2.586
3.661 -3.435 -0.702
Sc Li Al Pm
1 1 1 1
Direct
0.250 0.250 0.250 Sc
0.000 0.000 0.000 Li
0.500 0.500 0.500 Al
0.750 0.750 0.750 Pm
```

For the density, the calculation gives 4.036 g cm⁻³. Its symmetry is F-43m. The calculation puts the formation energy at -0.197 eV per atom.



Entry 12:
VASP calculation (GGA-PBE) on a geometry-optimized BaCrW structure.

Cell and atoms, written as POSCAR:
```
BaCrW
1.0
6.842 -0.046 0.000
5.280 4.351 0.000
-6.061 -2.152 2.333
Ba Cr W
1 1 1
Direct
0.999 0.999 0.000 Ba
0.285 0.285 0.000 Cr
0.716 0.716 0.000 W
```

For the density, the calculation gives 8.849 g cm⁻³. The energy above the lowest structure with this stoichiometry comes out at 0.0000 eV/atom. Its symmetry is I4mm. The calculation puts the formation energy at 0.934 eV per atom.



Entry 13:
VASP calculation (GGA-PBE) on a geometry-optimized KTc2Pb structure.

Cell and atoms, written as POSCAR:
```
KTc2Pb
1.0
5.391 0.000 0.000
0.000 2.890 0.003
0.000 -0.185 6.570
K Pb Tc
1 1 2
Direct
0.500 0.250 0.250 K
0.500 0.750 0.750 Pb
0.000 0.844 0.913 Tc
0.000 0.656 0.587 Tc
```

For the density, the calculation gives 7.175 g cm⁻³. Its symmetry is P2/m. The calculation puts the formation energy at 1.025 eV per atom.



Entry 14:
VASP calculation (GGA-PBE) on a geometry-optimized Tl3HgRu structure.

Cell and atoms, written as POSCAR:
```
Tl3HgRu
1.0
5.332 0.000 0.000
0.000 5.332 0.000
0.000 0.000 5.332
Ru Tl Hg
1 3 1
Direct
0.000 0.000 0.000 Ru
0.000 0.500 0.000 Tl
0.000 0.000 0.500 Tl
0.500 0.000 0.000 Tl
0.500 0.500 0.500 Hg
```

For the density, the calculation gives 10.022 g cm⁻³. The energy above the lowest structure with this stoichiometry comes out at 0.0000 eV/atom. Its symmetry is Pm-3m. The calculation puts the formation energy at 0.171 eV per atom.



Entry 15:
VASP calculation (GGA-PBE) on a geometry-optimized Y2CrBr structure.

Cell and atoms, written as POSCAR:
```
Y2CrBr
1.0
-1.391 5.067 -0.201
-3.309 1.962 3.584
1.760 3.356 3.645
Br Cr Y
1 1 2
Direct
0.500 0.500 0.500 Br
0.750 0.750 0.750 Cr
0.000 0.000 0.000 Y
0.250 0.250 0.250 Y
```

For the density, the calculation gives 5.004 g cm⁻³. The energy above the lowest structure with this stoichiometry comes out at 0.8110 eV/atom. The energy relative to the elements, uncorrected is 0.492 eV per atom. Its symmetry is F-43m.



Entry 16:
VASP calculation (GGA-PBE) on a geometry-optimized Y2Mg3Pd4 structure.

Cell and atoms, written as POSCAR:
```
Y2Mg3Pd4
1.0
5.805 0.000 0.000
0.000 7.542 0.000
-2.903 0.000 8.109
Y Mg Pd
4 6 8
Direct
0.104 0.589 0.209 Y
0.896 0.411 0.791 Y
0.396 0.089 0.791 Y
0.604 0.911 0.209 Y
0.000 0.000 0.000 Mg
0.500 0.500 0.000 Mg
0.523 0.750 0.545 Mg
0.977 0.250 0.455 Mg
0.477 0.250 0.455 Mg
0.023 0.750 0.545 Mg
0.687 0.750 0.875 Pd
0.813 0.250 0.125 Pd
0.313 0.250 0.125 Pd
0.187 0.750 0.875 Pd
0.169 0.966 0.338 Pd
0.831 0.034 0.662 Pd
0.331 0.466 0.662 Pd
0.669 0.534 0.338 Pd
```

For the density, the calculation gives 6.328 g cm⁻³. The energy above the lowest structure with this stoichiometry comes out at 0.0000 eV/atom. Its symmetry is Cmce. The calculation puts the formation energy at -0.700 eV per atom.



Entry 17:
VASP calculation (GGA-PBE) on a geometry-optimized ReRuBr2 structure.

Cell and atoms, written as POSCAR:
```
ReRuBr2
1.0
-1.480 6.763 -1.894
-4.255 5.444 -1.943
-0.820 1.572 4.065
Re Br Ru
1 2 1
Direct
0.750 0.750 0.750 Re
0.108 0.108 0.958 Br
0.392 0.392 0.542 Br
0.250 0.250 0.250 Ru
```

For the density, the calculation gives 7.840 g cm⁻³. The energy above the lowest structure with this stoichiometry comes out at 0.4296 eV/atom. The energy relative to the elements, uncorrected is 0.699 eV per atom. Its symmetry is C2/m.



Entry 18:
VASP calculation (GGA-PBE) on a geometry-optimized Cs2DyGaO4 structure.

Cell and atoms, written as POSCAR:
```
Cs2DyGaO4
1.0
-2.555 -4.935 -0.116
0.592 -3.291 -6.204
8.563 -7.649 3.629
Cs Dy Ga O
4 2 2 8
Direct
0.179 0.000 0.641 Cs
0.821 0.000 0.359 Cs
0.571 0.500 0.859 Cs
0.929 0.500 0.141 Cs
0.750 0.500 0.500 Dy
0.000 0.000 0.000 Dy
0.250 0.500 0.500 Ga
0.500 0.000 0.000 Ga
0.325 0.830 0.083 O
0.237 0.170 0.917 O
0.846 0.830 0.917 O
0.593 0.170 0.083 O
0.425 0.670 0.417 O
0.513 0.330 0.583 O
0.904 0.670 0.583 O
0.157 0.330 0.417 O
```

For the density, the calculation gives 4.425 g cm⁻³. The energy relative to the elements, uncorrected is -1.974 eV per atom. Its symmetry is Fddd.



Entry 19:
VASP calculation (GGA-PBE) on a geometry-optimized Tl2SbBr structure.

Cell and atoms, written as POSCAR:
```
Tl2SbBr
1.0
3.739 0.000 0.000
0.000 5.956 0.000
0.000 0.000 5.473
Sb Tl Br
1 2 1
Direct
0.000 0.500 0.500 Sb
0.000 0.000 0.000 Tl
0.500 0.500 0.000 Tl
0.500 0.000 0.500 Br
```

For the density, the calculation gives 8.316 g cm⁻³. The energy above the lowest structure with this stoichiometry comes out at 0.2216 eV/atom. The energy relative to the elements, uncorrected is -0.048 eV per atom. Its symmetry is Pmmm.



Entry 20:
VASP calculation (GGA-PBE) on a geometry-optimized BaInNi structure.

Cell and atoms, written as POSCAR:
```
BaInNi
1.0
-0.554 -5.531 -1.813
8.214 0.268 -3.326
2.921 1.980 7.372
Ba In Ni
4 4 4
Direct
0.589 0.918 0.791 Ba
0.911 0.418 0.209 Ba
0.411 0.082 0.209 Ba
0.089 0.582 0.791 Ba
0.037 0.811 0.317 In
0.463 0.311 0.683 In
0.963 0.189 0.683 In
0.537 0.689 0.317 In
0.897 0.906 0.553 Ni
0.603 0.406 0.447 Ni
0.103 0.094 0.447 Ni
0.397 0.594 0.553 Ni
```

For the density, the calculation gives 5.802 g cm⁻³. Its symmetry is P2_1/c. The calculation puts the formation energy at -0.133 eV per atom.



Number 1: E_tot -4.002 eV/atom. Number 2: E_tot -4.489 eV/atom. Number 3: E_tot -3.923 eV/atom. Number 4: E_tot -4.432 eV/atom. Number 5: E_tot -2.512 eV/atom. Number 6: E_tot -6.278 eV/atom. Number 7: E_tot -3.247 eV/atom. Number 8: E_tot -7.566 eV/atom. Number 9: E_tot -5.062 eV/atom. Number 10: E_tot -6.265 eV/atom. Number 11: E_tot -4.381 eV/atom. Number 12: E_tot -7.232 eV/atom. Number 13: E_tot -5.359 eV/atom. Number 14: E_tot -3.164 eV/atom. Number 15: E_tot -5.565 eV/atom. Number 16: E_tot -4.976 eV/atom. Number 17: E_tot -5.568 eV/atom. Number 18: E_tot -5.620 eV/atom. Number 19: E_tot -2.680 eV/atom. Number 20: E_tot -3.614 eV/atom.